No. 1
A relaxed Na4CuSb3S8 crystal. Source: Alexandria, functional GGA-PBE.

a b c (Å): 7.627 8.093 7.845
angles (deg): 118.40 119.08 90.00
Last column: magnetic moment on the atom in μB.
Atoms (fractional coordinates):
Na 0.500 0.000 0.000  0.00
Na 0.500 0.000 0.500  0.00
Na 0.000 0.000 0.000  0.00
Na 0.000 0.000 0.500  0.00
Cu 0.000 0.500 0.000  0.30
Sb 0.500 0.500 0.000  0.01
Sb 0.500 0.500 0.500  0.00
Sb 0.000 0.500 0.500  0.00
S 0.211 0.702 0.982  0.08
S 0.266 0.750 0.532  0.02
S 0.259 0.267 0.518  0.01
S 0.771 0.702 0.982  0.08
S 0.229 0.298 0.018  0.08
S 0.741 0.733 0.482  0.01
S 0.734 0.250 0.468  0.02
S 0.789 0.298 0.018  0.08

Properties
ΔE_f (raw) ... -0.55 eV/atom



No. 2
A relaxed YTh2Co crystal. Source: Alexandria, functional GGA-PBE.

a b c (Å): 3.739 3.739 10.296
angles (deg): 79.54 79.54 60.00
Atoms (fractional coordinates):
Y 0.000 0.000 0.000
Co 0.500 0.500 0.500
Th 0.113 0.113 0.660
Th 0.887 0.887 0.340

Properties
E_tot ... -27.92 eV per formula unit



Density, record by record: 3.64 8.34 Mg/m³